Entry 1:
# TlCoI2O, single point on PBEsol structure, DFT SCAN
data_TlCoI2O
_symmetry_space_group_name_H-M 'P 1'
_symmetry_Int_Tables_number 1
_cell_length_a 5.9473
_cell_length_b 5.9473
_cell_length_c 4.0061
_cell_angle_alpha 90.00
_cell_angle_beta 90.00
_cell_angle_gamma 90.00
loop_
_symmetry_equiv_pos_as_xyz
'x,y,z'
loop_
_atom_site_label
_atom_site_type_symbol
_atom_site_fract_x
_atom_site_fract_y
_atom_site_fract_z
Tl1 Tl 0.0000 0.0000 0.0000
Co1 Co 0.5000 0.5000 0.5000
I1 I 0.0000 0.5000 0.0000
I2 I 0.5000 0.0000 0.0000
O1 O 0.0000 0.0000 0.5000
# M_tot: 0.541 μB per atom
# Formation energy without anion corrections: 2.595 eV per formula unit

Entry 2:
# YCoI2O, single point on PBEsol structure, DFT SCAN
data_YCoI2O
_symmetry_space_group_name_H-M 'P 1'
_symmetry_Int_Tables_number 1
_cell_length_a 5.9918
_cell_length_b 5.9918
_cell_length_c 4.0805
_cell_angle_alpha 90.00
_cell_angle_beta 90.00
_cell_angle_gamma 90.00
loop_
_symmetry_equiv_pos_as_xyz
'x,y,z'
loop_
_atom_site_label
_atom_site_type_symbol
_atom_site_fract_x
_atom_site_fract_y
_atom_site_fract_z
Y1 Y 0.0000 0.0000 0.0000
Co1 Co 0.5000 0.5000 0.5000
I1 I 0.0000 0.5000 0.0000
I2 I 0.5000 0.0000 0.0000
O1 O 0.0000 0.0000 0.5000
# M_tot: 0.652 μB per atom
# Formation energy without anion corrections: -3.801 eV per formula unit

Entry 3:
# ZnCoI2O, single point on PBEsol structure, DFT SCAN
data_ZnCoI2O
_symmetry_space_group_name_H-M 'P 1'
_symmetry_Int_Tables_number 1
_cell_length_a 5.5325
_cell_length_b 5.5325
_cell_length_c 3.5904
_cell_angle_alpha 90.00
_cell_angle_beta 90.00
_cell_angle_gamma 90.00
loop_
_symmetry_equiv_pos_as_xyz
'x,y,z'
loop_
_atom_site_label
_atom_site_type_symbol
_atom_site_fract_x
_atom_site_fract_y
_atom_site_fract_z
Zn1 Zn 0.0000 0.0000 0.0000
Co1 Co 0.5000 0.5000 0.5000
I1 I 0.0000 0.5000 0.0000
I2 I 0.5000 0.0000 0.0000
O1 O 0.0000 0.0000 0.5000
# M_tot: 0.627 μB per atom
# Formation energy without anion corrections: 1.055 eV per formula unit

Entry 4:
# CoSb2OsI, single point on PBEsol structure, DFT SCAN
data_CoSb2OsI
_symmetry_space_group_name_H-M 'P 1'
_symmetry_Int_Tables_number 1
_cell_length_a 4.6843
_cell_length_b 4.6843
_cell_length_c 4.9442
_cell_angle_alpha 90.00
_cell_angle_beta 90.00
_cell_angle_gamma 90.00
loop_
_symmetry_equiv_pos_as_xyz
'x,y,z'
loop_
_atom_site_label
_atom_site_type_symbol
_atom_site_fract_x
_atom_site_fract_y
_atom_site_fract_z
Co1 Co 0.0000 0.0000 0.0000
Sb1 Sb 0.0000 0.5000 0.0000
Sb2 Sb 0.5000 0.0000 0.0000
Os1 Os 0.5000 0.5000 0.5000
I1 I 0.0000 0.0000 0.5000
# M_tot: 0.000 μB per atom
# Formation energy without anion corrections: 7.303 eV per formula unit

Entry 5:
# ScCoOs2I, single point on PBEsol structure, DFT SCAN
data_ScCoOs2I
_symmetry_space_group_name_H-M 'P 1'
_symmetry_Int_Tables_number 1
_cell_length_a 4.7969
_cell_length_b 4.7969
_cell_length_c 4.4020
_cell_angle_alpha 90.00
_cell_angle_beta 90.00
_cell_angle_gamma 90.00
loop_
_symmetry_equiv_pos_as_xyz
'x,y,z'
loop_
_atom_site_label
_atom_site_type_symbol
_atom_site_fract_x
_atom_site_fract_y
_atom_site_fract_z
Sc1 Sc 0.0000 0.0000 0.0000
Co1 Co 0.5000 0.5000 0.0000
Os1 Os 0.0000 0.5000 0.5000
Os2 Os 0.5000 0.0000 0.5000
I1 I 0.5000 0.5000 0.5000
# M_tot: 0.497 μB per atom
# Formation energy without anion corrections: 8.496 eV per formula unit

Entry 6:
# CoP3I, single point on PBEsol structure, DFT SCAN
data_CoP3I
_symmetry_space_group_name_H-M 'P 1'
_symmetry_Int_Tables_number 1
_cell_length_a 4.9780
_cell_length_b 4.9780
_cell_length_c 4.9780
_cell_angle_alpha 90.00
_cell_angle_beta 90.00
_cell_angle_gamma 90.00
loop_
_symmetry_equiv_pos_as_xyz
'x,y,z'
loop_
_atom_site_label
_atom_site_type_symbol
_atom_site_fract_x
_atom_site_fract_y
_atom_site_fract_z
Co1 Co 0.0000 0.0000 0.0000
P1 P 0.0000 0.5000 0.5000
P2 P 0.5000 0.0000 0.5000
P3 P 0.5000 0.5000 0.0000
I1 I 0.5000 0.5000 0.5000
# M_tot: 0.542 μB per atom
# Formation energy without anion corrections: 10.572 eV per formula unit

Among the records above, which one has the lowest M_tot?
CoSb2OsI

Which value of M_tot does entry 3 give?
0.627 μB per atom

formation energy without anion corrections of number 1 (TlCoI2O)?
2.595 eV per formula unit

Repeat the third record exactly.
# ZnCoI2O, single point on PBEsol structure, DFT SCAN
data_ZnCoI2O
_symmetry_space_group_name_H-M 'P 1'
_symmetry_Int_Tables_number 1
_cell_length_a 5.5325
_cell_length_b 5.5325
_cell_length_c 3.5904
_cell_angle_alpha 90.00
_cell_angle_beta 90.00
_cell_angle_gamma 90.00
loop_
_symmetry_equiv_pos_as_xyz
'x,y,z'
loop_
_atom_site_label
_atom_site_type_symbol
_atom_site_fract_x
_atom_site_fract_y
_atom_site_fract_z
Zn1 Zn 0.0000 0.0000 0.0000
Co1 Co 0.5000 0.5000 0.5000
I1 I 0.0000 0.5000 0.0000
I2 I 0.5000 0.0000 0.0000
O1 O 0.0000 0.0000 0.5000
# M_tot: 0.627 μB per atom
# Formation energy without anion corrections: 1.055 eV per formula unit